(1)
Os3Au | SCAN | single point on PBEsol structure

Properties
M_tot = 0.480 μB/atom
Total DFT energy (no corrections) = -563.84 eV for the cell shown
Offset from the most stable computed form = 225 meV/atom

Cell lengths 2.7238, 4.6575, 9.5206 Å; angles 90.00, 90.00, 90.00 degrees
Closest atoms and distances in Å follow each position.
Positions (direct):
Os  0.0000  0.0000  0.0000  10 Os 2.63-2.72
Os  0.0000  0.5000  0.2367  8 Os 2.63-2.72, 2 Au 2.85
Os  0.0000  0.5000  0.7633  8 Os 2.63-2.72, 2 Au 2.85
Os  0.5000  0.0000  0.2367  8 Os 2.63-2.72, 2 Au 2.85
Os  0.5000  0.0000  0.7633  8 Os 2.63-2.72, 2 Au 2.85
Os  0.5000  0.5000  0.0000  10 Os 2.63-2.72
Au  0.0000  0.0000  0.5000  6 Au 2.70-2.72, 4 Os 2.85
Au  0.5000  0.5000  0.5000  6 Au 2.70-2.72, 4 Os 2.85



(2)
POsAu3 | SCAN | single point on PBEsol structure

Properties
M_tot = 0.052 μB/atom
Total DFT energy (no corrections) = -281.11 eV for the cell shown
Offset from the most stable computed form = 529 meV/atom

Cell lengths 4.8875, 4.8875, 4.8875 Å; angles 90.00, 90.00, 90.00 degrees
Closest atoms and distances in Å follow each position.
Positions (direct):
P  0.0000  0.0000  0.0000  12 Au 3.46
Os  0.5000  0.5000  0.5000  6 Au 2.44
Au  0.0000  0.5000  0.5000  2 Os 2.44
Au  0.5000  0.0000  0.5000  2 Os 2.44
Au  0.5000  0.5000  0.0000  2 Os 2.44



(3)
P2OsAu | SCAN | single point on PBEsol structure

Properties
M_tot = 0.000 μB/atom
Total DFT energy (no corrections) = -319.37 eV for the cell shown
Offset from the most stable computed form = 552 meV/atom

Cell lengths 5.7978, 8.1288, 2.5898 Å; angles 90.00, 90.00, 90.00 degrees
Closest atoms and distances in Å follow each position.
Positions (direct):
P  0.2500  0.2500  0.0000  2 Os 2.50, 2 Au 2.50, 2 P 2.59
P  0.2500  0.7500  0.0000  2 Os 2.50, 2 Au 2.50, 2 P 2.59
P  0.7500  0.2500  0.0000  2 Os 2.50, 2 Au 2.50, 2 P 2.59
P  0.7500  0.7500  0.0000  2 Os 2.50, 2 Au 2.50, 2 P 2.59
Os  0.0000  0.0000  0.0000  4 P 2.50, 2 Os 2.59
Os  0.5000  0.5000  0.0000  4 P 2.50, 2 Os 2.59
Au  0.0000  0.5000  0.0000  4 P 2.50, 2 Au 2.59
Au  0.5000  0.0000  0.0000  4 P 2.50, 2 Au 2.59



(4)
POs2Au | SCAN | single point on PBEsol structure

Properties
M_tot = 0.000 μB/atom
Total DFT energy (no corrections) = -442.54 eV for the cell shown

Cell lengths 9.3391, 2.8072, 4.7804 Å; angles 90.00, 105.77, 90.00 degrees
Closest atoms and distances in Å follow each position.
Positions (direct):
P  0.0000  0.0000  0.0000  4 Os 2.34-2.45
P  0.5000  0.5000  0.0000  4 Os 2.34-2.45
Os  0.2201  0.5000  0.1934  2 P 2.45, 3 Os 2.64-2.71, 2 Au 2.73
Os  0.4673  0.0000  0.3699  2 P 2.34
Os  0.7201  0.0000  0.1934  2 P 2.45, 3 Os 2.64-2.71, 2 Au 2.73
Os  0.9673  0.5000  0.3699  2 P 2.34
Au  0.2357  0.0000  0.6904  7 Os 2.73-2.97, 2 Au 2.81, 3 P 2.88-2.97
Au  0.7357  0.5000  0.6904  7 Os 2.73-2.97, 2 Au 2.81, 3 P 2.88-2.97



(5)
P4OsAu | SCAN | single point on PBEsol structure

Properties
M_tot = 0.000 μB/atom
Total DFT energy (no corrections) = -175.10 eV for the cell shown

Cell lengths 4.9553, 4.9553, 4.9553 Å; angles 60.00, 60.00, 60.00 degrees
Closest atoms and distances in Å follow each position.
Positions (direct):
P  0.1240  0.1240  0.1240  6 P 2.46-2.50
P  0.1240  0.1240  0.6280  6 P 2.46-2.50
P  0.1240  0.6280  0.1240  6 P 2.46-2.50
P  0.6280  0.1240  0.1240  6 P 2.46-2.50
Os  0.5000  0.5000  0.5000  12 P 2.91, 4 Au 3.03
Au  0.7500  0.7500  0.7500  12 P 2.90, 4 Os 3.03



(6)
P2OsAu | SCAN | single point on PBEsol structure

Properties
M_tot = 0.000 μB/atom
Total DFT energy (no corrections) = -160.07 eV for the cell shown
Offset from the most stable computed form = 455 meV/atom

Cell lengths 2.8648, 2.8648, 7.4465 Å; angles 90.00, 90.00, 90.00 degrees
Closest atoms and distances in Å follow each position.
Positions (direct):
P  0.0000  0.0000  0.0000  4 Os 2.37
P  0.5000  0.5000  0.3061  4 Au 2.72, 4 P 2.86
Os  0.5000  0.5000  0.8337  4 P 2.37
Au  0.0000  0.0000  0.5494  4 P 2.72, 4 Au 2.86, 4 Os 2.93



Which of these has the highest M_tot? Os3Au



Which formula does entry 4 have? POs2Au



Among the records above, which one has the highest M_tot? Os3Au



Look up the total DFT energy (no corrections) of the third one. -319.37 eV for the cell shown